Run i
Below is a relaxed LaYTm6 crystal, with properties calculated at the PBE level.

Summary:
For the spin magnetization, the calculation gives 0.000 μB/atom.

Cell: 7.066 7.066 4.992 Å, 90.00 90.00 90.00°
Space group P4/mmm (No. 123)
Inequivalent atoms, fractional coordinates:
La1 0.000 0.000 0.000
Y1 0.500 0.500 0.000
Tm1 0.000 0.500 0.000
Tm2 0.252 0.252 0.500



Run ii
Below is a relaxed LaYTm6 crystal, with properties calculated at the PBE level.

Summary:
For the spin magnetization, the calculation gives 0.000 μB/atom.

Cell: 8.6364 8.6364 12.9457 Å, 90.00 90.00 120.00°
Space group R-3m (No. 166, hexagonal axes)
Inequivalent atoms, fractional coordinates:
La1 0.0000 0.0000 0.0000
Y1 0.0000 0.0000 0.5000
Tm1 0.0910 0.5455 0.3901



Stability summary - winner: run i; margin: 553 meV/atom.



Run i
Below is a relaxed La4YTm3 crystal, with properties calculated at the PBE level.

Summary:
For the spin magnetization, the calculation gives 0.000 μB/atom.

Cell: 5.139 10.282 10.216 Å, 90.00 90.00 90.00°
Space group Pmmn (No. 59, origin choice 2)
Inequivalent atoms, fractional coordinates:
La1 0.250 0.001 0.127
La2 0.250 0.250 0.873
La3 0.250 0.750 0.871
Y1 0.250 0.750 0.385
Tm1 0.250 0.000 0.615
Tm2 0.250 0.250 0.384



Run ii
Below is a relaxed La4YTm3 crystal, with properties calculated at the PBE level.

Summary:
For the spin magnetization, the calculation gives 0.000 μB/atom.

Cell: 24.231 3.659 6.266 Å, 90.00 104.75 90.00°
Space group C2/m (No. 12)
Inequivalent atoms, fractional coordinates:
La1 0.123 0.000 0.457
La2 0.248 0.000 0.242
Y1 0.000 0.000 0.000
Tm1 0.000 0.500 0.500
Tm2 0.122 0.500 0.954



Stability summary - winner: run ii; margin: 22 meV/atom.



Run i
Below is a relaxed LaY7Tm2 crystal, with properties calculated at the PBE level.

Summary:
For the spin magnetization, the calculation gives 0.000 μB/atom.

Cell: 6.592 6.709 8.111 Å, 74.25 71.81 84.60°
Space group P-1 (No. 2)
Inequivalent atoms, fractional coordinates:
La1 0.000 0.000 0.000
Y1 0.000 0.000 0.500
Y2 0.197 0.577 0.781
Y3 0.434 0.234 0.063
Y4 0.448 0.163 0.624
Tm1 0.219 0.532 0.341



Run ii
Below is a relaxed LaY7Tm2 crystal, with properties calculated at the PBE level.

Summary:
For the spin magnetization, the calculation gives 0.000 μB/atom.

Cell: 8.860 15.818 5.713 Å, 90.00 90.00 90.00°
Space group Cmmm (No. 65)
Inequivalent atoms, fractional coordinates:
La1 0.000 0.000 0.000
Y1 0.000 0.228 0.000
Y2 0.000 0.500 0.500
Y3 0.178 0.120 0.500
Tm1 0.000 0.297 0.500



Stability summary - winner: run i; margin: 599 meV/atom.



Run i
Below is a relaxed La7Y3Tm crystal, with properties calculated at the PBE level.

Summary:
For the spin magnetization, the calculation gives 0.000 μB/atom.

Cell: 6.620 6.803 8.963 Å, 100.60 98.32 96.03°
Space group P-1 (No. 2)
Inequivalent atoms, fractional coordinates:
La1 0.000 0.000 0.000
La2 0.054 0.715 0.647
La3 0.196 0.232 0.706
La4 0.485 0.727 0.917
Y1 0.328 0.925 0.328
Y2 0.500 0.500 0.500
Tm1 0.000 0.500 0.000



Run ii
Below is a relaxed La7Y3Tm crystal, with properties calculated at the PBE level.

Summary:
For the spin magnetization, the calculation gives 0.000 μB/atom.

Cell: 12.959 11.571 6.023 Å, 90.00 117.68 90.00°
Space group C2/m (No. 12)
Inequivalent atoms, fractional coordinates:
La1 0.000 0.000 0.000
La2 0.193 0.287 0.693
La3 0.213 0.500 0.212
Y1 0.000 0.296 0.000
Y2 0.000 0.500 0.500
Tm1 0.000 0.000 0.500



Stability summary - winner: run i; margin: 94 meV/atom.